Computed, not measured: crystalline Zn2MoP at its relaxed geometry at the PBE level of DFT.

a = 3.2402 Å, b = 3.2402 Å, c = 5.4950 Å
α = 90.00°, β = 90.00°, γ = 90.00°
Element x y z (fractional)
Zn 0.0000 0.0000 0.0000
Zn 0.5000 0.5000 0.2250
Mo 0.0000 0.0000 0.5151
P 0.5000 0.5000 0.7082

Values from the calculation:
The value obtained for the theoretical density is 7.4 g cm⁻³. The volume comes out at 14.4 Å³ per atom. For the final energy, the calculation gives -19.3 eV for the cell shown. The value obtained for the energy of formation is -0.14 eV per atom.